The following is a DFT calculation (GGA-PBE) of a geometry-optimized FeTc4Sb structure.

Values from the calculation:
Raw total energy: -8.48 eV/atom
Raw formation energy: 3.16 eV/f.u.
SG: No. 216

a b c (Å): 5.1647 5.1647 5.1647
angles (deg): 60.00 60.00 60.00
With the nearest neighbours (Å) after each atom.
Positions (direct):
1 Fe 0.2500 0.2500 0.2500  12 Tc 3.03, 4 Sb 3.16
2 Tc 0.6248 0.6248 0.1255  6 Tc 2.58-2.59
3 Tc 0.6248 0.1255 0.6248  6 Tc 2.58-2.59
4 Tc 0.6248 0.6248 0.6248  6 Tc 2.58-2.59
5 Tc 0.1255 0.6248 0.6248  6 Tc 2.58-2.59
6 Sb 0.0000 0.0000 0.0000  12 Tc 3.03, 4 Fe 3.16